DyWN2 | PBE-GGA | optimized geometry

Cell and atoms, written as POSCAR:
```
DyWN2
1.0
1.615 0.933 5.285
-1.615 0.933 5.285
0.000 -1.865 5.285
Dy W N
1 1 2
Cartesian
0.000 0.000 0.000 Dy
0.000 0.000 7.927 W
0.000 0.000 3.819 N
0.000 0.000 12.035 N
```

Calculated values
- offset from the most stable computed form (meV/atom) = 235
- symmetry = No. 166

---

La2CrRu2 | PBE-GGA | optimized geometry

Cell and atoms, written as POSCAR:
```
La2CrRu2
1.0
6.570 0.000 0.000
0.000 6.570 0.000
0.000 0.000 4.831
La Cr Ru
4 2 4
Cartesian
1.155 2.130 0.000 La
2.130 5.415 0.000 La
4.440 1.155 0.000 La
5.415 4.440 0.000 La
0.000 0.000 2.415 Cr
3.285 3.285 2.415 Cr
1.021 4.306 2.415 Ru
2.264 1.021 2.415 Ru
4.306 5.549 2.415 Ru
5.549 2.264 2.415 Ru
```

Calculated values
- E_form (eV/atom) = 0.1259
- symmetry = No. 127

---

SiAgPb2 | PBE-GGA | optimized geometry

Cell and atoms, written as POSCAR:
```
SiAgPb2
1.0
0.000 3.664 3.664
3.664 0.000 3.664
3.664 3.664 0.000
Si Ag Pb
1 1 2
Cartesian
0.000 0.000 0.000 Si
1.832 1.832 1.832 Ag
3.664 3.664 3.664 Pb
5.495 5.495 5.495 Pb
```

Calculated values
- energy (Ha/atom) = -0.128
- symmetry = No. 216

---

DyPuTl2 | PBE-GGA | optimized geometry

Cell and atoms, written as POSCAR:
```
DyPuTl2
1.0
4.972 0.000 0.000
0.000 4.972 0.000
0.000 0.000 4.444
Dy Pu Tl
1 1 2
Cartesian
0.000 0.000 0.000 Dy
2.486 2.486 0.000 Pu
0.000 2.486 2.222 Tl
2.486 0.000 2.222 Tl
```

Calculated values
- E_form (eV/atom) = -0.1411
- offset from the most stable computed form (meV/atom) = 31
- symmetry = No. 123

---

La9InSn2 | PBE-GGA | optimized geometry

Cell and atoms, written as POSCAR:
```
La9InSn2
1.0
5.046 0.000 0.000
0.000 5.046 0.000
0.000 0.000 15.114
La In Sn
9 1 2
Cartesian
0.000 0.000 0.000 La
0.000 0.000 5.053 La
0.000 0.000 10.060 La
0.000 2.523 2.556 La
0.000 2.523 7.557 La
0.000 2.523 12.558 La
2.523 0.000 2.556 La
2.523 0.000 7.557 La
2.523 0.000 12.558 La
2.523 2.523 0.000 In
2.523 2.523 5.040 Sn
2.523 2.523 10.074 Sn
```

Calculated values
- E_form (eV/atom) = -0.4312
- symmetry = No. 123

---

CaCeAsSe | PBE-GGA | optimized geometry

Cell and atoms, written as POSCAR:
```
CaCeAsSe
1.0
2.129 1.229 6.927
-2.129 1.229 6.927
0.000 -2.458 6.927
Ca Ce As Se
1 1 1 1
Cartesian
0.000 0.000 0.000 Ca
0.000 0.000 10.260 Ce
0.000 0.000 15.575 As
0.000 0.000 5.135 Se
```

Calculated values
- energy (Ha/atom) = -0.207
- symmetry = No. 160

---

> What is the formula in the second record?

La2CrRu2